<a>
Computed, not measured: a relaxed Nd6MgAl crystal at the GGA-PBE level of DFT. Values from VASP.

Values from the calculation:
Calculated volume ... 245.09 Å³/f.u.

Quantum ESPRESSO input file:
```
&SYSTEM
  ibrav = 0, nat = 8, ntyp = 3
/
ATOMIC_SPECIES
Al 26.98 Al.upf
Nd 144.24 Nd.upf
Mg 24.30 Mg.upf
CELL_PARAMETERS angstrom
4.968 0.000 0.000
0.000 4.968 0.000
0.000 0.000 9.932
ATOMIC_POSITIONS angstrom
Al 0.000 0.000 0.000
Nd 2.484 0.000 7.540
Nd 0.000 2.484 2.391
Nd 0.000 2.484 7.540
Nd 2.484 0.000 2.391
Nd 2.484 2.484 4.966
Nd 2.484 2.484 0.000
Mg 0.000 0.000 4.966
```



<b>
Computed, not measured: a relaxed Nd6MgAl crystal at the GGA-PBE level of DFT. Values from VASP.

Values from the calculation:
Calculated volume ... 254.00 Å³/f.u.

Quantum ESPRESSO input file:
```
&SYSTEM
  ibrav = 0, nat = 8, ntyp = 3
/
ATOMIC_SPECIES
Nd 144.24 Nd.upf
Mg 24.30 Mg.upf
Al 26.98 Al.upf
CELL_PARAMETERS angstrom
9.155 0.008 0.183
4.564 7.492 -0.166
4.497 2.468 3.710
ATOMIC_POSITIONS angstrom
Nd 3.581 0.892 1.046
Mg 9.108 4.984 1.864
Nd 14.635 9.076 2.681
Nd 11.280 7.688 2.985
Nd 6.935 2.280 0.743
Nd 5.746 5.281 2.756
Nd 12.469 4.688 0.971
Al 0.000 0.000 0.000
```



The least stable of the structures above is <b>, whereas <a> is the most stable.